Entry 1:
Density functional theory data (PBE-GGA) for a relaxed structure of SrYOsPt2.

Values from the calculation:
calculated formation energy = 2.03 eV per atom
E = -4.261 eV per atom
calculated volume = 134.42 Å³/cell
total magnetization = 1.71 μB per cell

Cell lengths 4.988, 4.988, 5.404 Å; angles 90.00, 90.00, 90.00 degrees
Space group P4/mmm (No. 123)
Asymmetric unit:
Sr: 0.000 0.000 0.000 x1
Y: 0.000 0.000 0.500 x1
Os: 0.500 0.500 0.500 x1
Pt: 0.000 0.500 0.000 x2

Entry 2:
Density functional theory data (PBE-GGA) for a relaxed structure of Ta3Os3Pt.

Values from the calculation:
calculated formation energy = -0.14 eV per atom
E = -10.896 eV per atom
calculated volume = 481.31 Å³/cell
total magnetization = 0.00 μB per cell

Cell lengths 8.652, 8.819, 6.308 Å; angles 90.00, 90.00, 90.00 degrees
Space group Cmmm (No. 65)
Asymmetric unit:
Ta: 0.000 0.000 0.247 x4
Ta: 0.250 0.250 0.254 x8
Os: 0.000 0.252 0.000 x4
Os: 0.000 0.258 0.500 x4
Os: 0.244 0.500 0.500 x4
Pt: 0.209 0.500 0.000 x4

Entry 3:
Density functional theory data (PBE-GGA) for a relaxed structure of TaOsPt.

Values from the calculation:
calculated formation energy = -0.26 eV per atom
E = -9.967 eV per atom
calculated volume = 95.29 Å³/cell
total magnetization = 0.00 μB per cell

Cell lengths 2.753, 4.024, 8.601 Å; angles 90.00, 90.00, 90.00 degrees
Space group Imm2 (No. 44)
Asymmetric unit:
Ta: 0.000 0.000 0.000 x2
Os: 0.000 0.000 0.662 x2
Pt: 0.000 0.000 0.328 x2

Entry 4:
Density functional theory data (PBE-GGA) for a relaxed structure of TaOs3Pt.

Values from the calculation:
calculated formation energy = 2.37 eV per atom
E = -7.949 eV per atom
calculated volume = 103.91 Å³/cell
total magnetization = 2.19 μB per cell

Cell lengths 4.701, 4.701, 4.701 Å; angles 90.00, 90.00, 90.00 degrees
Space group Pm-3m (No. 221)
Asymmetric unit:
Ta: 0.000 0.000 0.000 x1
Os: 0.000 0.000 0.500 x3
Pt: 0.500 0.500 0.500 x1